! PBE Tb3YZn2, relaxed; values from VASP
&SYSTEM
  ibrav = 0, nat = 12, ntyp = 3
/
ATOMIC_SPECIES
Tb 158.93 Tb.upf
Y 88.91 Y.upf
Zn 65.41 Zn.upf
CELL_PARAMETERS angstrom
5.039 0.000 0.000
0.000 9.100 0.000
0.000 0.000 6.809
ATOMIC_POSITIONS angstrom
Tb 0.000 0.525 0.000
Tb 0.000 2.966 2.367
Tb 0.000 6.133 5.771
Tb 0.000 8.575 3.404
Tb 2.519 1.576 4.640
Tb 2.519 7.524 1.236
Y 2.519 4.034 0.204
Y 2.519 5.065 3.608
Zn 0.000 3.193 5.353
Zn 0.000 5.907 1.949
Zn 2.519 1.370 1.655
Zn 2.519 7.730 5.060
! * total moment: 0.0 Bohr magnetons per cell
! * formation energy from the elements: -0.232 eV per atom
! * space group: Pmc2_1 (26)